[1]
{"formula": "ZnInAuBr2", "functional": "PBE", "state": "relaxed", "formation_energy_uncorrected_mev_per_atom": 274, "density_g_cm3": 5.33, "dft_energy_ev_per_atom": -1.85, "cell": [[5.629, 0.000, 0.000], [0.000, 5.280, 0.000], [0.000, 0.000, 5.629]], "species": ["Zn", "Br", "Au", "In", "Br"], "fractional_positions": [[0.000, 0.500, 0.000], [0.500, 0.000, 0.000], [0.500, 0.500, 0.500], [0.000, 0.000, 0.000], [0.000, 0.000, 0.500]]}

***

[2]
{"formula": "ZrInAu2Br", "functional": "PBE", "state": "relaxed", "formation_energy_uncorrected_mev_per_atom": 637, "density_g_cm3": 8.66, "dft_energy_ev_per_atom": -3.27, "cell": [[-2.801, -1.232, 4.064], [1.574, -4.823, -0.377], [3.903, 1.038, 3.005]], "species": ["Au", "Br", "In", "Au", "Zr"], "fractional_positions": [[0.500, 0.000, 0.000], [0.000, 0.000, 0.000], [0.500, 0.500, 0.500], [0.000, 0.500, 0.000], [0.000, 0.000, 0.500]]}

***

[3]
{"formula": "IrAu2Br", "functional": "PBE", "state": "relaxed", "formation_energy_uncorrected_mev_per_atom": 880, "de_polymorph_ev_per_atom": 0.429, "density_g_cm3": 14.97, "dft_energy_ev_per_atom": -3.39, "cell": [[4.710, 0.000, 0.000], [2.355, 4.079, 0.000], [2.355, 1.360, 3.846]], "species": ["Au", "Au", "Br", "Ir"], "fractional_positions": [[0.250, 0.250, 0.250], [0.000, 0.000, 0.000], [0.500, 0.500, 0.500], [0.750, 0.750, 0.750]]}

***

[4]
{"formula": "IrAu2Br", "functional": "PBE", "state": "relaxed", "formation_energy_uncorrected_mev_per_atom": 541, "de_polymorph_ev_per_atom": 0.091, "density_g_cm3": 12.95, "dft_energy_ev_per_atom": -3.73, "cell": [[-0.924, -2.191, 1.299], [3.415, -0.665, 1.309], [-1.687, 4.753, 6.817]], "species": ["Br", "Au", "Ir", "Au"], "fractional_positions": [[0.500, 0.500, 0.250], [0.000, 0.000, 0.938], [0.500, 0.500, 0.750], [0.000, 0.000, 0.562]]}

***

[5]
{"formula": "IrAu2Br", "functional": "PBE", "state": "relaxed", "formation_energy_uncorrected_mev_per_atom": 559, "de_polymorph_ev_per_atom": 0.108, "density_g_cm3": 14.44, "dft_energy_ev_per_atom": -3.71, "cell": [[2.939, -0.065, 0.000], [-1.543, 2.502, 0.000], [0.000, 0.000, 10.560]], "species": ["Br", "Ir", "Au", "Au"], "fractional_positions": [[0.500, 0.500, 0.250], [0.500, 0.500, 0.750], [0.000, 0.000, 0.525], [0.000, 0.000, 0.975]]}

***

[6]
{"formula": "IrAu2Br", "functional": "PBE", "state": "relaxed", "formation_energy_uncorrected_mev_per_atom": 529, "de_polymorph_ev_per_atom": 0.078, "density_g_cm3": 13.37, "dft_energy_ev_per_atom": -3.74, "cell": [[-2.214, -11.247, -3.562], [-1.217, -11.900, -0.990], [-3.956, -11.255, -1.326]], "species": ["Ir", "Au", "Br", "Au"], "fractional_positions": [[0.750, 0.750, 0.750], [0.484, 0.484, 0.484], [0.250, 0.250, 0.250], [0.016, 0.016, 0.016]]}